No. 1
Below is a relaxed structure of Ba2Te2As, with properties calculated at the PBE level.

a b c (Å): 6.5339 6.5339 6.5339
angles (deg): 118.54 118.54 92.55
With the nearest neighbours (Å) after each atom.
Sites, in units of the cell vectors:
Ba  0.2500  0.7500  0.5000  4 Te 3.41
Ba  0.7500  0.2500  0.5000  4 Te 3.41
Te  0.1733  0.1733  0.0000  1 As 2.95, 1 Te 3.13
Te  0.8267  0.8267  0.0000  1 As 2.95, 1 Te 3.13
As  0.5000  0.5000  0.0000  2 Te 2.95

Values from the calculation:
- E_form (uncorrected): -0.96 eV/atom
- Calculated density: 4.99 Mg/m³
- Total moment: 0.00 μB per cell
- Energy above the most stable polymorph in this dataset: 60 meV per atom



No. 2
Below is a relaxed structure of SrMg3Ag3, with properties calculated at the PBE level.

a b c (Å): 7.4224 7.4224 7.4224
angles (deg): 90.00 90.00 90.00
With the nearest neighbours (Å) after each atom.
Sites, in units of the cell vectors:
Sr  0.0000  0.0000  0.0000  12 Mg 4.15, 12 Ag 4.15
Sr  0.5000  0.5000  0.5000  12 Mg 4.15, 12 Ag 4.15
Mg  0.0000  0.2500  0.5000  4 Ag 2.62
Mg  0.0000  0.7500  0.5000  4 Ag 2.62
Mg  0.2500  0.5000  0.0000  4 Ag 2.62
Mg  0.5000  0.0000  0.2500  4 Ag 2.62
Mg  0.5000  0.0000  0.7500  4 Ag 2.62
Mg  0.7500  0.5000  0.0000  4 Ag 2.62
Ag  0.0000  0.5000  0.2500  4 Mg 2.62
Ag  0.0000  0.5000  0.7500  4 Mg 2.62
Ag  0.2500  0.0000  0.5000  4 Mg 2.62
Ag  0.5000  0.2500  0.0000  4 Mg 2.62
Ag  0.5000  0.7500  0.0000  4 Mg 2.62
Ag  0.7500  0.0000  0.5000  4 Mg 2.62

Values from the calculation:
- ΔE_f: 2.589 kcal/mol of atoms
- Calculated density: 3.93 Mg/m³
- Total moment: 0.00 μB per cell



No. 3
Below is a relaxed structure of LaPd6Pb2, with properties calculated at the PBE level.

a b c (Å): 5.6288 5.6288 7.3149
angles (deg): 90.00 90.00 120.00
With the nearest neighbours (Å) after each atom.
Sites, in units of the cell vectors:
La  0.0000  0.0000  0.0000  12 Pd 3.13
Pd  0.0000  0.5000  0.1860  5 Pd 2.72-2.81, 2 Pb 2.81
Pd  0.0000  0.5000  0.8140  5 Pd 2.72-2.81, 2 Pb 2.81
Pd  0.5000  0.0000  0.1860  5 Pd 2.72-2.81, 2 Pb 2.81
Pd  0.5000  0.0000  0.8140  5 Pd 2.72-2.81, 2 Pb 2.81
Pd  0.5000  0.5000  0.1860  5 Pd 2.72-2.81, 2 Pb 2.81
Pd  0.5000  0.5000  0.8140  5 Pd 2.72-2.81, 2 Pb 2.81
Pb  0.3333  0.6667  0.5000  6 Pd 2.81
Pb  0.6667  0.3333  0.5000  6 Pd 2.81

Values from the calculation:
- ΔE_f: -8.714 kcal/mol of atoms
- Calculated density: 9.86 Mg/m³
- Total moment: 0.00 μB per cell



No. 4
Below is a relaxed structure of SiSn3Se, with properties calculated at the PBE level.

a b c (Å): 5.2552 5.2552 5.2552
angles (deg): 90.00 90.00 90.00
With the nearest neighbours (Å) after each atom.
Sites, in units of the cell vectors:
Si  0.0000  0.0000  0.0000  6 Sn 2.63
Sn  0.0000  0.0000  0.5000  2 Si 2.63
Sn  0.0000  0.5000  0.0000  2 Si 2.63
Sn  0.5000  0.0000  0.0000  2 Si 2.63
Se  0.5000  0.5000  0.5000  12 Sn 3.72

Values from the calculation:
- E_form (uncorrected): 0.46 eV/atom
- Calculated density: 5.30 Mg/m³
- Total moment: 0.00 μB per cell
- Energy above the most stable polymorph in this dataset: 0 meV per atom



No. 5
Below is a relaxed structure of La2DyMnS5, with properties calculated at the PBE level.

a b c (Å): 8.5749 8.5749 12.1325
angles (deg): 90.00 90.00 153.12
With the nearest neighbours (Å) after each atom.
Sites, in units of the cell vectors:
La  0.1186  0.8814  0.5000  8 S 2.98-3.11
La  0.1241  0.8759  0.1477  8 S 2.95-3.30
La  0.8759  0.1241  0.6477  8 S 2.95-3.30
La  0.8814  0.1186  0.0000  8 S 2.98-3.11
Dy  0.1868  0.8132  0.8314  6 S 2.70-2.78
Dy  0.8132  0.1868  0.3314  6 S 2.70-2.78
Mn  0.4490  0.5510  0.2384  4 S 2.30-2.42
Mn  0.5510  0.4490  0.7384  4 S 2.30-2.42
S  0.0212  0.9788  0.8318  2 Mn 2.35
S  0.3008  0.6992  0.4879  2 Dy 2.76, 3 La 3.04-3.05
S  0.3121  0.6879  0.1717  1 Mn 2.42
S  0.3487  0.6513  0.8234  1 Dy 2.70, 4 La 2.95-2.98
S  0.4940  0.5060  0.5657  1 Mn 2.30
S  0.5060  0.4940  0.0657  1 Mn 2.30
S  0.6513  0.3487  0.3234  1 Dy 2.70, 4 La 2.95-2.98
S  0.6879  0.3121  0.6717  1 Mn 2.42
S  0.6992  0.3008  0.9879  2 Dy 2.76, 3 La 3.04-3.05
S  0.9788  0.0212  0.3318  2 Mn 2.35

Values from the calculation:
- E_form (uncorrected): -1.82 eV/atom
- Calculated density: 5.40 Mg/m³
- Total moment: 8.72 μB per cell



No. 6
Below is a relaxed structure of TbAl2ReO8, with properties calculated at the PBE level.

a b c (Å): 4.6923 4.6923 6.5216
angles (deg): 96.00 96.00 83.32
With the nearest neighbours (Å) after each atom.
Sites, in units of the cell vectors:
Tb  0.0000  0.0000  0.0000  6 O 2.27-2.30
Al  0.4581  0.4581  0.7872  5 O 1.83-1.89
Al  0.5419  0.5419  0.2128  5 O 1.83-1.89
Re  0.0000  0.0000  0.5000  6 O 1.85-1.92
O  0.2055  0.7811  0.7112  1 Al 1.89, 1 Re 1.92
O  0.2189  0.7945  0.2888  1 Al 1.89, 1 Re 1.92
O  0.2666  0.2666  0.5553  1 Re 1.85, 1 Al 1.88
O  0.3251  0.3251  0.0088  2 Al 1.83-1.87
O  0.6749  0.6749  0.9912  2 Al 1.83-1.87
O  0.7334  0.7334  0.4447  1 Re 1.85, 1 Al 1.88
O  0.7811  0.2055  0.7112  1 Al 1.89, 1 Re 1.92
O  0.7945  0.2189  0.2888  1 Al 1.89, 1 Re 1.92

Values from the calculation:
- E_form (uncorrected): -2.45 eV/atom
- Calculated density: 6.20 Mg/m³
- Total moment: 0.00 μB per cell



No. 7
Below is a relaxed structure of BaVSi3, with properties calculated at the PBE level.

a b c (Å): 5.5088 5.5088 5.5088
angles (deg): 90.00 90.00 90.00
With the nearest neighbours (Å) after each atom.
Sites, in units of the cell vectors:
Ba  0.0000  0.0000  0.0000  6 Si 2.75
V  0.5000  0.5000  0.5000  12 Si 3.90
Si  0.0000  0.0000  0.5000  2 Ba 2.75
Si  0.0000  0.5000  0.0000  2 Ba 2.75
Si  0.5000  0.0000  0.0000  2 Ba 2.75

Values from the calculation:
- E_form (uncorrected): 2.16 eV/atom
- Calculated density: 2.71 Mg/m³
- Total moment: 3.22 μB per cell
- Energy above the most stable polymorph in this dataset: 2324 meV per atom



No. 8
Below is a relaxed structure of NdSn3, with properties calculated at the PBE level.

a b c (Å): 4.8248 4.8248 4.6821
angles (deg): 90.00 90.00 90.00
With the nearest neighbours (Å) after each atom.
Sites, in units of the cell vectors:
Nd  0.0000  0.0000  0.0000  12 Sn 3.36-3.41
Sn  0.0000  0.5000  0.5000  8 Sn 3.36-3.41, 4 Nd 3.36
Sn  0.5000  0.0000  0.5000  8 Sn 3.36-3.41, 4 Nd 3.36
Sn  0.5000  0.5000  0.0000  8 Sn 3.36, 4 Nd 3.41

Values from the calculation:
- ΔE_f: -11.451 kcal/mol of atoms
- Calculated density: 7.62 Mg/m³
- Total moment: 0.00 μB per cell